A geometry-optimized TbPaPd6 structure. Source: Alexandria via LeMat-Bulk, functional PBE.

abc: 4.1407 4.1407 8.2745
angles: 90.00 90.00 90.00
Space group P4/mmm (No. 123)
Asymmetric unit:
Tb 0.0000 0.0000 0.0000 [1 per cell]
Pa 0.0000 0.0000 0.5000 [1 per cell]
Pd 0.0000 0.5000 0.2559 [4 per cell]
Pd 0.5000 0.5000 0.0000 [1 per cell]
Pd 0.5000 0.5000 0.5000 [1 per cell]

density of states at the Fermi level	2.8	states/eV per cell
crystal system	tetragonal
final energy	-0.240	hartree per atom
formation enthalpy at 0 K	-0.87	eV/atom

***

A geometry-optimized Tb2PaPd structure. Source: Alexandria via LeMat-Bulk, functional PBE.

abc: 3.2645 3.2645 32.7657
angles: 90.00 90.00 120.00
Space group R-3m (No. 166, hexagonal axes)
Asymmetric unit:
Tb 0.0000 0.0000 0.0979 [6 per cell]
Pa 0.0000 0.0000 0.0000 [3 per cell]
Pd 0.0000 0.0000 0.5000 [3 per cell]

energy above the most stable polymorph in this dataset	1.267	eV per formula unit
density of states at the Fermi level	14.0	states/eV per cell
crystal system	trigonal
final energy	-0.219	hartree per atom
formation enthalpy at 0 K	0.03	eV/atom

***

A geometry-optimized Tb2PaPd structure. Source: Alexandria via LeMat-Bulk, functional PBE.

abc: 3.4855 3.4855 8.1644
angles: 90.00 90.00 90.00
Space group P4/mmm (No. 123)
Asymmetric unit:
Tb 0.0000 0.0000 0.2154 [2 per cell]
Pa 0.5000 0.5000 0.5000 [1 per cell]
Pd 0.5000 0.5000 0.0000 [1 per cell]

energy above the most stable polymorph in this dataset	0.000	eV per formula unit
density of states at the Fermi level	5.3	states/eV per cell
crystal system	tetragonal
final energy	-0.230	hartree per atom
formation enthalpy at 0 K	-0.28	eV/atom

***

A geometry-optimized TbPa2Pd9 structure. Source: Alexandria via LeMat-Bulk, functional PBE.

abc: 4.1534 4.1534 12.4317
angles: 90.00 90.00 90.00
Space group P4/mmm (No. 123)
Asymmetric unit:
Tb 0.0000 0.0000 0.0000 [1 per cell]
Pa 0.0000 0.0000 0.3308 [2 per cell]
Pd 0.0000 0.5000 0.1695 [4 per cell]
Pd 0.0000 0.5000 0.5000 [2 per cell]
Pd 0.5000 0.5000 0.0000 [1 per cell]
Pd 0.5000 0.5000 0.3340 [2 per cell]

density of states at the Fermi level	9.2	states/eV per cell
crystal system	tetragonal
final energy	-0.245	hartree per atom
formation enthalpy at 0 K	-0.80	eV/atom

***

A geometry-optimized Pa8Tc5Pd structure. Source: Alexandria via LeMat-Bulk, functional PBE.

abc: 8.6420 8.6420 8.2699
angles: 90.00 90.00 90.00
Space group I-4 (No. 82)
Asymmetric unit:
Pa 0.0493 0.3268 0.0672 [8 per cell]
Pa 0.0683 0.1926 0.6788 [8 per cell]
Tc 0.0000 0.5000 0.7500 [2 per cell]
Tc 0.1397 0.2368 0.3581 [8 per cell]
Pd 0.0000 0.0000 0.0000 [2 per cell]

density of states at the Fermi level	35.4	states/eV per cell
crystal system	tetragonal
final energy	-0.356	hartree per atom
formation enthalpy at 0 K	-0.20	eV/atom

***

A geometry-optimized PaTc2Pd structure. Source: Alexandria via LeMat-Bulk, functional PBE.

abc: 4.1544 4.1544 3.9841
angles: 90.00 90.00 90.00
Space group P4/mmm (No. 123)
Asymmetric unit:
Pa 0.0000 0.0000 0.0000 [1 per cell]
Tc 0.0000 0.5000 0.5000 [2 per cell]
Pd 0.5000 0.5000 0.0000 [1 per cell]

energy above the most stable polymorph in this dataset	0.000	eV per formula unit
density of states at the Fermi level	4.4	states/eV per cell
crystal system	tetragonal
final energy	-0.334	hartree per atom
formation enthalpy at 0 K	-0.23	eV/atom

***

A geometry-optimized PaTc2Pd structure. Source: Alexandria via LeMat-Bulk, functional PBE.

abc: 4.5337 4.5337 11.9107
angles: 90.00 90.00 120.00
Space group R-3m (No. 166, hexagonal axes)
Asymmetric unit:
Pa 0.0000 0.0000 0.0000 [3 per cell]
Tc 0.0000 0.0000 0.2749 [6 per cell]
Pd 0.0000 0.0000 0.5000 [3 per cell]

energy above the most stable polymorph in this dataset	0.929	eV per formula unit
density of states at the Fermi level	19.8	states/eV per cell
crystal system	trigonal
final energy	-0.325	hartree per atom
formation enthalpy at 0 K	0.00	eV/atom

***

A geometry-optimized TmPaTcPd structure. Source: Alexandria via LeMat-Bulk, functional PBE.

abc: 6.8980 6.8980 6.8980
angles: 90.00 90.00 90.00
Space group F-43m (No. 216)
Asymmetric unit:
Tm 0.0000 0.0000 0.0000 [4 per cell]
Pa 0.0000 0.0000 0.5000 [4 per cell]
Tc 0.2500 0.2500 0.2500 [4 per cell]
Pd 0.2500 0.2500 0.7500 [4 per cell]

density of states at the Fermi level	16.2	states/eV per cell
crystal system	cubic
final energy	-0.285	hartree per atom
formation enthalpy at 0 K	-0.39	eV/atom